KCdHg2 | PBE | relaxed

a = 4.724 Å, b = 13.303 Å, c = 16.424 Å
α = 90.00°, β = 90.00°, γ = 90.00°
Atoms (fractional coordinates):
K 0.750 0.430 0.708
K 0.250 0.930 0.792
K 0.250 0.570 0.292
K 0.750 0.070 0.208
K 0.750 0.232 0.955
K 0.250 0.732 0.545
K 0.250 0.768 0.045
K 0.750 0.268 0.455
Cd 0.750 0.532 0.942
Cd 0.250 0.032 0.558
Cd 0.250 0.468 0.058
Cd 0.750 0.968 0.442
Cd 0.750 0.374 0.186
Cd 0.250 0.874 0.314
Cd 0.250 0.626 0.814
Cd 0.750 0.126 0.686
Hg 0.750 0.955 0.959
Hg 0.250 0.455 0.541
Hg 0.250 0.045 0.041
Hg 0.750 0.545 0.459
Hg 0.750 0.748 0.886
Hg 0.250 0.248 0.614
Hg 0.250 0.252 0.114
Hg 0.750 0.752 0.386
Hg 0.750 0.702 0.703
Hg 0.250 0.202 0.797
Hg 0.250 0.298 0.297
Hg 0.750 0.798 0.203
Hg 0.750 0.912 0.625
Hg 0.250 0.412 0.875
Hg 0.250 0.088 0.375
Hg 0.750 0.588 0.125

For the spin magnetization, the calculation gives 0.0000 μB per atom. The volume comes out at 1032.0 Å³ per cell. As for the energy: -26.35 eV per cell. The value obtained for the energy of formation is -0.17 eV per atom. The calculation puts the density of states at the Fermi level at 0.485 states/eV/atom. Its crystal system is orthorhombic.



AcTbPrZn | PBE | relaxed

a = 3.730 Å, b = 3.730 Å, c = 9.029 Å
α = 90.00°, β = 90.00°, γ = 90.00°
Atoms (fractional coordinates):
Ac 0.000 0.000 0.080
Tb 0.500 0.500 0.378
Pr 0.500 0.500 0.768
Zn 0.000 0.000 0.558

For the spin magnetization, the calculation gives 0.0001 μB per atom. The volume comes out at 125.7 Å³ per cell. As for the energy: -15.30 eV per cell. The value obtained for the energy of formation is -0.13 eV per atom. The calculation puts the density of states at the Fermi level at 1.509 states/eV/atom. Its energy above the most stable polymorph in this dataset is 0 meV per atom. Its crystal system is tetragonal.



ScW3Cl | PBE | relaxed

a = 4.766 Å, b = 4.766 Å, c = 4.766 Å
α = 90.00°, β = 90.00°, γ = 90.00°
Atoms (fractional coordinates):
Sc 0.000 0.000 0.000
W 0.000 0.500 0.000
W 0.000 0.000 0.500
W 0.500 0.000 0.000
Cl 0.500 0.500 0.500

For the spin magnetization, the calculation gives 0.0000 μB per atom. The volume comes out at 108.2 Å³ per cell. The calculation puts the energy relative to the elements, uncorrected at 2859 meV per atom. As for the energy: -32.74 eV per cell. The calculation puts the density of states at the Fermi level at 1.306 states/eV/atom. Its energy above the most stable polymorph in this dataset is 1657 meV per atom. Its crystal system is cubic.



RePRu3 | PBE | relaxed

a = 4.667 Å, b = 4.667 Å, c = 4.667 Å
α = 90.00°, β = 90.00°, γ = 90.00°
Each line ends with the local moment (μB).
Atoms (fractional coordinates):
Re 0.000 0.000 0.000  -0.06
P 0.500 0.500 0.500  0.02
Ru 0.000 0.500 0.000  0.48
Ru 0.000 0.000 0.500  0.48
Ru 0.500 0.000 0.000  0.34

For the spin magnetization, the calculation gives 0.2601 μB per atom. The volume comes out at 101.6 Å³ per cell. As for the energy: -36.30 eV per cell. The value obtained for the energy of formation is 1.88 eV per atom. The calculation puts the density of states at the Fermi level at 1.078 states/eV/atom. Its energy above the most stable polymorph in this dataset is 1062 meV per atom. Its crystal system is cubic.



NaCu2P2 | PBE | relaxed

a = 7.441 Å, b = 7.441 Å, c = 2.702 Å
α = 90.00°, β = 90.00°, γ = 90.00°
Atoms (fractional coordinates):
P 0.344 0.844 0.000
P 0.844 0.656 0.000
P 0.656 0.156 0.000
P 0.156 0.344 0.000
Cu 0.134 0.634 0.500
Cu 0.634 0.866 0.500
Cu 0.866 0.366 0.500
Cu 0.366 0.134 0.500
Na 0.000 0.000 0.000
Na 0.500 0.500 0.000

For the spin magnetization, the calculation gives 0.0000 μB per atom. The volume comes out at 149.6 Å³ per cell. As for the energy: -40.14 eV per cell. The value obtained for the energy of formation is 0.05 eV per atom. The calculation puts the density of states at the Fermi level at 0.251 states/eV/atom. Its crystal system is tetragonal.



Rb3TiBi3S8 | PBE | relaxed

a = 8.050 Å, b = 8.057 Å, c = 9.154 Å
α = 116.14°, β = 89.99°, γ = 120.00°
Atoms (fractional coordinates):
Rb 0.000 0.000 0.000
Rb 0.000 0.500 0.000
Rb 0.500 0.500 0.000
Ti 0.000 0.000 0.500
Bi 0.500 0.000 0.500
Bi 0.500 0.500 0.500
Bi 0.000 0.500 0.500
S 0.265 0.531 0.296
S 0.735 0.469 0.704
S 0.792 0.584 0.321
S 0.208 0.416 0.679
S 0.792 0.028 0.320
S 0.208 0.972 0.680
S 0.237 0.029 0.320
S 0.763 0.971 0.680

For the spin magnetization, the calculation gives 0.0000 μB per atom. The volume comes out at 442.7 Å³ per cell. The calculation puts the energy relative to the elements, uncorrected at -869 meV per atom. As for the energy: -68.49 eV per cell. Its crystal system is monoclinic.



YZr2Co | PBE | relaxed

a = 5.952 Å, b = 5.952 Å, c = 5.952 Å
α = 140.46°, β = 140.46°, γ = 57.15°
Atoms (fractional coordinates):
Co 0.250 0.750 0.500
Y 0.750 0.250 0.500
Zr 0.000 0.000 0.000
Zr 0.500 0.500 0.000

For the spin magnetization, the calculation gives 0.0003 μB per atom. The volume comes out at 84.7 Å³ per cell. As for the energy: -29.86 eV per cell. The value obtained for the energy of formation is 0.20 eV per atom. The calculation puts the density of states at the Fermi level at 1.063 states/eV/atom. Its energy above the most stable polymorph in this dataset is 351 meV per atom. Its crystal system is tetragonal.



Tm6Ni2Pd | PBE | relaxed

a = 8.130 Å, b = 8.130 Å, c = 8.130 Å
α = 108.07°, β = 110.04°, γ = 110.32°
Atoms (fractional coordinates):
Tm 0.549 0.728 0.822
Tm 0.451 0.272 0.178
Tm 0.094 0.272 0.822
Tm 0.906 0.728 0.178
Tm 0.811 0.753 0.564
Tm 0.189 0.247 0.436
Tm 0.189 0.753 0.942
Tm 0.811 0.247 0.058
Tm 0.691 0.364 0.673
Tm 0.309 0.636 0.327
Tm 0.309 0.982 0.673
Tm 0.691 0.018 0.327
Ni 0.500 0.379 0.879
Ni 0.500 0.621 0.121
Ni 0.658 0.000 0.658
Ni 0.342 0.000 0.342
Pd 0.000 0.500 0.500
Pd 0.000 0.000 0.000

For the spin magnetization, the calculation gives 0.0000 μB per atom. The volume comes out at 413.4 Å³ per cell. As for the energy: -95.15 eV per cell. The value obtained for the energy of formation is -0.44 eV per atom. The calculation puts the density of states at the Fermi level at 1.019 states/eV/atom. Its crystal system is orthorhombic.



TbEr8Ir6 | PBE | relaxed

a = 7.609 Å, b = 7.609 Å, c = 7.609 Å
α = 65.46°, β = 65.46°, γ = 65.46°
Atoms (fractional coordinates):
Tb 0.000 0.000 0.000
Er 0.223 0.552 0.889
Er 0.111 0.777 0.448
Er 0.448 0.111 0.777
Er 0.666 0.666 0.666
Er 0.334 0.334 0.334
Er 0.552 0.889 0.223
Er 0.889 0.223 0.552
Er 0.777 0.448 0.111
Ir 0.057 0.391 0.723
Ir 0.277 0.943 0.609
Ir 0.609 0.277 0.943
Ir 0.391 0.723 0.057
Ir 0.723 0.057 0.391
Ir 0.943 0.609 0.277

For the spin magnetization, the calculation gives 0.0000 μB per atom. The volume comes out at 348.4 Å³ per cell. As for the energy: -106.72 eV per cell. The value obtained for the energy of formation is -0.83 eV per atom. The calculation puts the density of states at the Fermi level at 0.566 states/eV/atom. Its crystal system is trigonal.



LiPAu | PBE | relaxed

a = 4.783 Å, b = 4.783 Å, c = 6.134 Å
α = 64.21°, β = 64.21°, γ = 71.40°
Atoms (fractional coordinates):
Li 0.383 0.383 0.818
Li 0.617 0.617 0.182
P 0.018 0.018 0.170
P 0.982 0.982 0.830
Au 0.000 0.500 0.500
Au 0.500 0.000 0.500

For the spin magnetization, the calculation gives 0.0000 μB per atom. The volume comes out at 112.3 Å³ per cell. As for the energy: -23.51 eV per cell. The value obtained for the energy of formation is -0.38 eV per atom. The calculation puts the density of states at the Fermi level at 0.122 states/eV/atom. Its crystal system is monoclinic.



HfAl5Ru6 | PBE | relaxed

a = 4.320 Å, b = 6.104 Å, c = 7.462 Å
α = 114.14°, β = 106.83°, γ = 90.00°
Atoms (fractional coordinates):
Ru 0.829 0.572 0.658
Ru 0.829 0.087 0.658
Ru 0.500 0.737 0.000
Ru 0.500 0.263 0.000
Ru 0.171 0.913 0.342
Ru 0.171 0.428 0.342
Hf 0.000 0.000 0.000
Al 0.664 0.164 0.327
Al 0.331 0.331 0.662
Al 0.000 0.500 0.000
Al 0.669 0.669 0.338
Al 0.336 0.836 0.673

For the spin magnetization, the calculation gives 0.0000 μB per atom. The volume comes out at 170.3 Å³ per cell. As for the energy: -92.72 eV per cell. The value obtained for the energy of formation is -0.70 eV per atom. The calculation puts the density of states at the Fermi level at 1.052 states/eV/atom. Its crystal system is orthorhombic.



BaSnC3 | PBE | relaxed

a = 4.788 Å, b = 4.788 Å, c = 4.788 Å
α = 90.00°, β = 90.00°, γ = 90.00°
Each line ends with the local moment (μB).
Atoms (fractional coordinates):
C 0.000 0.500 0.000  0.35
C 0.000 0.000 0.500  0.36
C 0.500 0.000 0.000  0.24
Ba 0.000 0.000 0.000  0.05
Sn 0.500 0.500 0.500  -0.02

For the spin magnetization, the calculation gives 0.3711 μB per atom. The volume comes out at 109.8 Å³ per cell. As for the energy: -17.02 eV per cell. The value obtained for the energy of formation is 3.32 eV per atom. The calculation puts the density of states at the Fermi level at 0.682 states/eV/atom. Its energy above the most stable polymorph in this dataset is 1319 meV per atom. Its crystal system is cubic.